Entry 1:
# SrNbAsO

A relaxed structure of SrNbAsO (PBE, OQMD).

a b c (Å): 4.209 4.563 7.915
angles (deg): 90.00 90.00 90.00
Space group Pmc2_1 (No. 26)
Inequivalent atoms, fractional coordinates:
Sr: 0.000 0.248 0.000 [2 per cell]
Nb: 0.500 0.252 0.333 [2 per cell]
As: 0.500 0.249 0.665 [2 per cell]
O: 0.000 0.252 0.333 [2 per cell]



Entry 2:
# SrNbAsO

A relaxed structure of SrNbAsO (PBE, OQMD).

a b c (Å): 3.842 7.317 6.062
angles (deg): 90.00 90.00 90.00
Space group Pmc2_1 (No. 26)
Inequivalent atoms, fractional coordinates:
Sr: 0.000 0.134 0.000 [2 per cell]
Nb: 0.500 0.464 0.280 [2 per cell]
As: 0.000 0.302 0.510 [2 per cell]
O: 0.500 0.315 0.986 [2 per cell]



Entry 3:
# SrNbAsO

A relaxed structure of SrNbAsO (PBE, OQMD).

a b c (Å): 4.267 4.267 8.291
angles (deg): 90.00 90.00 90.00
Space group P4/nmm (No. 129, origin choice 2)
Inequivalent atoms, fractional coordinates:
Sr: 0.250 0.750 0.000 [2 per cell]
Nb: 0.250 0.250 0.422 [2 per cell]
As: 0.250 0.250 0.744 [2 per cell]
O: 0.250 0.750 0.500 [2 per cell]



We obtain electronic total energy values of -54.072, -53.711, -47.232 eV per cell for the records listed above, in that order.
We obtain excess energy over the best structure of this formula in the dataset values of 0, 45, 855 meV/atom for the records listed above, in that order.